1.
First-principles (GGA-PBE) data for a relaxed Ca3Ga8Ni3 crystal, as listed in the Alexandria database.

```
Ca3Ga8Ni3
1.0
-3.293 2.218 1.855
-0.605 -2.866 7.532
3.468 4.583 5.853
Ca Ga Ni
3 8 3
Direct
0.000 0.000 0.000
0.287 0.724 0.703
0.713 0.276 0.297
0.855 0.438 0.853
0.134 0.158 0.575
0.651 0.963 0.735
0.866 0.842 0.425
0.491 0.341 0.678
0.509 0.659 0.322
0.349 0.037 0.265
0.145 0.562 0.147
0.664 0.668 0.005
0.000 0.500 0.500
0.336 0.332 0.995
```

Calculated values
crystal system: monoclinic
DOS at the Fermi energy: 0.31 states/eV/atom
SG: C2/m
total magnetization: 0.0 μB per cell

2.
First-principles (GGA-PBE) data for a relaxed Th6TcAu2 crystal, as listed in the Alexandria database.

```
Th6TcAu2
1.0
-0.109 -2.882 -2.515
7.241 2.915 -3.652
0.420 -5.669 6.478
Th Au Tc
6 2 1
Direct
0.000 0.754 0.754
0.500 0.000 0.595
0.500 0.595 0.000
0.000 0.246 0.000
0.500 0.405 0.405
0.000 0.000 0.246
0.000 0.667 0.333
0.000 0.333 0.667
0.500 0.000 0.000
```

Calculated values
crystal system: hexagonal
DOS at the Fermi energy: 0.94 states/eV/atom
SG: P-62m
total magnetization: 0.0 μB per cell

3.
First-principles (GGA-PBE) data for a relaxed Zr2Sc6Hg crystal, as listed in the Alexandria database.

```
Zr2Sc6Hg
1.0
3.298 0.000 0.000
0.000 7.800 -3.592
0.000 -0.789 8.551
Hg Sc Zr
1 6 2
Direct
0.500 0.000 0.000
0.000 0.291 0.000
0.000 0.709 0.709
0.500 0.000 0.625
0.500 0.375 0.375
0.000 0.000 0.291
0.500 0.625 0.000
0.000 0.333 0.667
0.000 0.667 0.333
```

Calculated values
crystal system: hexagonal
DOS at the Fermi energy: 1.24 states/eV/atom
SG: P-62m
total magnetization: 0.0 μB per cell

4.
First-principles (GGA-PBE) data for a relaxed BMoPt2S crystal, as listed in the Alexandria database.

```
BMoPt2S
1.0
4.122 0.000 0.000
0.000 4.434 0.000
0.000 0.000 4.122
B Pt S Mo
1 2 1 1
Direct
0.000 0.000 0.000
0.000 0.000 0.500
0.500 0.000 0.000
0.500 0.500 0.500
0.000 0.500 0.000
```

Calculated values
crystal system: tetragonal
DOS at the Fermi energy: 1.08 states/eV/atom
SG: P4/mmm
total magnetization: 1.3 μB per cell
formation energy from raw total energies: 0.423 eV per atom

5.
First-principles (GGA-PBE) data for a relaxed HfMgN2 crystal, as listed in the Alexandria database.

```
HfMgN2
1.0
4.436 0.000 -0.001
0.000 4.436 -0.001
-2.217 -2.217 4.595
Mg Hf N
2 2 4
Direct
0.500 0.500 0.000
0.250 0.750 0.500
0.750 0.250 0.500
0.000 0.000 0.000
0.989 0.489 0.979
0.239 0.239 0.479
0.511 0.011 0.021
0.761 0.761 0.521
```

Calculated values
crystal system: tetragonal
DOS at the Fermi energy: 0.00 states/eV/atom
SG: I4_1/amd
total magnetization: 0.0 μB per cell
formation energy from raw total energies: -1.478 eV per atom

6.
First-principles (GGA-PBE) data for a relaxed Zr2BiPO crystal, as listed in the Alexandria database.

```
Zr2BiPO
1.0
4.461 0.000 0.000
0.000 4.815 0.000
0.000 0.000 4.461
O Bi P Zr
1 1 1 2
Direct
0.000 0.000 0.000
0.500 0.500 0.500
0.000 0.500 0.000
0.500 0.000 0.000
0.000 0.000 0.500
```

Calculated values
crystal system: tetragonal
DOS at the Fermi energy: 0.82 states/eV/atom
SG: P4/mmm
total magnetization: 0.0 μB per cell
formation energy from raw total energies: -0.592 eV per atom

7.
First-principles (GGA-PBE) data for a relaxed Ce4Sb2F crystal, as listed in the Alexandria database.

```
Ce4Sb2F
1.0
-4.365 1.087 -1.501
-0.799 -4.569 -0.987
-0.359 0.588 8.964
F Sb Ce
1 2 4
Direct
0.000 0.000 0.000
0.639 0.639 0.278
0.361 0.361 0.722
0.000 0.500 0.000
0.831 0.831 0.662
0.169 0.169 0.338
0.500 0.000 0.000
```

Calculated values
crystal system: tetragonal
DOS at the Fermi energy: 3.19 states/eV/atom
SG: I4/mmm
total magnetization: 2.6 μB per cell
formation energy from raw total energies: -1.212 eV per atom

8.
First-principles (GGA-PBE) data for a relaxed Ac8Ga2Rh crystal, as listed in the Alexandria database.

```
Ac8Ga2Rh
1.0
4.518 0.000 0.000
0.000 9.205 1.270
-2.259 -2.068 9.759
Ac Rh Ga
8 1 2
Direct
0.403 0.474 0.806
0.224 0.336 0.449
0.349 0.009 0.698
0.597 0.526 0.194
0.776 0.664 0.551
0.651 0.991 0.302
0.994 0.790 0.988
0.006 0.210 0.012
0.500 0.000 0.000
0.169 0.737 0.338
0.831 0.263 0.662
```

Calculated values
crystal system: monoclinic
DOS at the Fermi energy: 1.23 states/eV/atom
SG: C2/m
total magnetization: 0.0 μB per cell

9.
First-principles (GGA-PBE) data for a relaxed Ca4Tl2Cd crystal, as listed in the Alexandria database.

```
Ca4Tl2Cd
1.0
-4.383 1.969 2.484
-4.666 0.450 -2.700
-5.274 -7.415 2.460
Tl Ca Cd
2 4 1
Direct
0.749 0.749 0.754
0.251 0.251 0.246
0.126 0.126 0.622
0.376 0.376 0.872
0.874 0.874 0.378
0.624 0.624 0.128
0.000 0.000 0.000
```

Calculated values
crystal system: trigonal
DOS at the Fermi energy: 1.14 states/eV/atom
SG: R-3m
total magnetization: 0.0 μB per cell

10.
First-principles (GGA-PBE) data for a relaxed LiTlIF6 crystal, as listed in the Alexandria database.

```
LiTlIF6
1.0
5.562 0.230 -0.024
2.933 5.151 -0.007
-0.016 0.009 5.702
F Li I Tl
6 1 1 1
Direct
0.300 0.712 0.378
0.447 0.034 0.690
0.782 0.320 0.316
0.576 0.483 0.762
0.063 0.533 0.643
0.662 0.949 0.286
0.669 0.686 0.519
0.441 0.322 0.464
0.061 0.961 0.942
```

Calculated values
crystal system: triclinic
SG: P1
total magnetization: 1.0 μB per cell
formation energy from raw total energies: -1.806 eV per atom

11.
First-principles (GGA-PBE) data for a relaxed BaMgSi2 crystal, as listed in the Alexandria database.

```
BaMgSi2
1.0
5.578 0.081 0.001
-1.593 5.347 0.001
0.000 -0.001 3.353
Si Mg Ba
2 1 1
Direct
0.000 0.000 0.000
0.500 0.500 0.000
0.000 0.500 0.500
0.500 0.000 0.500
```

Calculated values
crystal system: orthorhombic
DOS at the Fermi energy: 0.62 states/eV/atom
SG: Cmmm
total magnetization: 0.0 μB per cell
formation energy from raw total energies: 0.272 eV per atom

12.
First-principles (GGA-PBE) data for a relaxed TiAl3 crystal, as listed in the Alexandria database.

```
TiAl3
1.0
4.762 0.000 0.000
0.000 2.757 0.000
0.000 0.000 4.951
Al Ti
3 1
Direct
0.000 0.000 0.991
0.500 0.500 0.172
0.000 0.500 0.498
0.500 0.000 0.672
```

Calculated values
crystal system: orthorhombic
DOS at the Fermi energy: 0.62 states/eV/atom
SG: Pmm2
total magnetization: 0.0 μB per cell

13.
First-principles (GGA-PBE) data for a relaxed BaZr2Pb crystal, as listed in the Alexandria database.

```
BaZr2Pb
1.0
5.430 0.000 0.000
2.715 4.702 0.000
2.715 1.567 4.433
Zr Pb Ba
2 1 1
Direct
0.250 0.250 0.250
0.000 0.000 0.000
0.750 0.750 0.750
0.500 0.500 0.500
```

Calculated values
crystal system: cubic
DOS at the Fermi energy: 1.03 states/eV/atom
SG: F-43m
total magnetization: 0.0 μB per cell

14.
First-principles (GGA-PBE) data for a relaxed Al2TlTe2 crystal, as listed in the Alexandria database.

```
Al2TlTe2
1.0
-5.843 4.885 3.690
-5.479 -6.448 -0.140
1.228 -1.117 3.423
Te Al Tl
4 4 2
Direct
0.850 0.650 0.000
0.150 0.350 0.000
0.650 0.150 0.000
0.350 0.850 0.000
0.133 0.633 0.500
0.367 0.133 0.500
0.867 0.367 0.500
0.633 0.867 0.500
0.000 0.000 0.000
0.500 0.500 0.000
```

Calculated values
crystal system: tetragonal
DOS at the Fermi energy: 0.37 states/eV/atom
SG: P4/mbm
total magnetization: 0.0 μB per cell
formation energy from raw total energies: 0.062 eV per atom

15.
First-principles (GGA-PBE) data for a relaxed Zr2TaMn crystal, as listed in the Alexandria database.

```
Zr2TaMn
1.0
-4.508 -0.569 1.207
-1.634 1.932 3.962
-2.967 3.641 -0.209
Zr Ta Mn
2 1 1
Direct
0.250 0.250 0.250
0.750 0.750 0.750
0.500 0.500 0.500
0.000 0.000 0.000
```

Calculated values
crystal system: cubic
DOS at the Fermi energy: 2.03 states/eV/atom
SG: Fm-3m
total magnetization: 0.0 μB per cell

16.
First-principles (GGA-PBE) data for a relaxed TiIn3Tc crystal, as listed in the Alexandria database.

```
TiIn3Tc
1.0
5.092 0.000 0.000
0.000 5.092 0.000
0.000 0.000 5.092
In Ti Tc
3 1 1
Direct
0.000 0.500 0.000
0.500 0.000 0.000
0.000 0.000 0.500
0.500 0.500 0.500
0.000 0.000 0.000
```

Calculated values
crystal system: cubic
DOS at the Fermi energy: 1.60 states/eV/atom
SG: Pm-3m
total magnetization: 0.0 μB per cell

17.
First-principles (GGA-PBE) data for a relaxed AgGeAu3 crystal, as listed in the Alexandria database.

```
AgGeAu3
1.0
5.067 0.000 0.000
0.000 5.067 0.000
0.000 0.000 5.067
Ge Au Ag
1 3 1
Direct
0.500 0.500 0.500
0.000 0.500 0.000
0.000 0.000 0.500
0.500 0.000 0.000
0.000 0.000 0.000
```

Calculated values
crystal system: cubic
DOS at the Fermi energy: 0.39 states/eV/atom
SG: Pm-3m
total magnetization: 0.0 μB per cell

18.
First-principles (GGA-PBE) data for a relaxed SrLa2AlOs crystal, as listed in the Alexandria database.

```
SrLa2AlOs
1.0
-3.154 4.600 0.684
-3.985 -2.247 -3.263
-2.169 -2.095 4.092
La Al Sr Os
2 1 1 1
Direct
0.500 0.000 0.000
0.000 0.500 0.000
0.000 0.000 0.500
0.500 0.500 0.500
0.000 0.000 0.000
```

Calculated values
crystal system: tetragonal
DOS at the Fermi energy: 0.59 states/eV/atom
SG: P4/mmm
total magnetization: 0.0 μB per cell

19.
First-principles (GGA-PBE) data for a relaxed TbPm2Tm6 crystal, as listed in the Alexandria database.

```
TbPm2Tm6
1.0
6.503 -0.056 -0.054
1.557 9.338 -0.771
1.557 -0.468 9.358
Tm Tb Pm
12 2 4
Direct
0.997 0.724 0.348
0.232 0.462 0.059
0.185 0.044 0.221
0.503 0.652 0.276
0.732 0.059 0.462
0.315 0.779 0.956
0.815 0.956 0.779
0.268 0.941 0.538
0.685 0.221 0.044
0.497 0.348 0.724
0.003 0.276 0.652
0.768 0.538 0.941
0.250 0.119 0.881
0.750 0.881 0.119
0.374 0.331 0.384
0.874 0.384 0.331
0.626 0.669 0.616
0.126 0.616 0.669
```

Calculated values
crystal system: monoclinic
DOS at the Fermi energy: 1.26 states/eV/atom
SG: C2/c
total magnetization: 0.0 μB per cell

20.
First-principles (GGA-PBE) data for a relaxed NdEr2US8 crystal, as listed in the Alexandria database.

```
NdEr2US8
1.0
-4.181 -4.291 -1.860
2.286 -3.834 3.897
-5.298 2.673 5.745
S Er U Nd
8 2 1 1
Direct
0.135 0.750 0.229
0.865 0.250 0.229
0.341 0.247 0.000
0.659 0.753 0.000
0.135 0.750 0.771
0.865 0.250 0.771
0.424 0.220 0.500
0.576 0.780 0.500
0.500 0.500 0.243
0.500 0.500 0.757
0.000 0.000 0.000
0.000 0.000 0.500
```

Calculated values
crystal system: monoclinic
DOS at the Fermi energy: 0.14 states/eV/atom
SG: P2/m
total magnetization: 0.0 μB per cell
formation energy from raw total energies: -1.485 eV per atom

Going through the records in order, we get raw total energy values of -3.8369; -7.1712; -6.2722; -6.3207; -8.5275; -6.8615; -6.0484; -4.4807; -2.2796; -3.7012; -3.3184; -5.0237; -5.3254; -3.1653; -9.3039; -4.4774; -2.6229; -5.4074; -4.4431; -6.3356 eV/atom.